VASP calculation (PBE with a Hubbard U) on crystalline Ba2NiPtO4 at its relaxed geometry.

Summary:
Total magnetization in μB/atom: 0.262
Crystal system: orthorhombic
Total DFT energy (no corrections) in eV per cell: -85.7

a b c (Å): 11.1262 9.5403 7.0344
angles (deg): 82.85 58.30 38.85
Closest atoms and distances in Å follow each position.
Atoms (fractional coordinates):
Ba  0.0441  0.0441  0.7059  2 O 2.44
Ba  0.2941  0.2941  0.9559  2 O 2.44
Ba  0.7059  0.7059  0.0441  2 O 2.44
Ba  0.9559  0.9559  0.2941  2 O 2.44
Ni  0.1250  0.1250  0.1250  4 O 1.94
Ni  0.8750  0.8750  0.8750  4 O 1.94
Pt  0.3750  0.3750  0.3750  4 O 2.06
Pt  0.6250  0.6250  0.6250  4 O 2.06
O  0.0033  0.2621  0.4608  1 Ni 1.94, 1 Pt 2.06
O  0.2262  0.5392  0.7379  1 Ni 1.94, 1 Pt 2.06
O  0.2621  0.0033  0.7738  1 Ni 1.94, 1 Pt 2.06
O  0.4608  0.7738  0.0033  1 Ni 1.94, 1 Pt 2.06
O  0.5392  0.2262  0.9967  1 Ni 1.94, 1 Pt 2.06
O  0.7379  0.9967  0.2262  1 Ni 1.94, 1 Pt 2.06
O  0.7738  0.4608  0.2621  1 Ni 1.94, 1 Pt 2.06
O  0.9967  0.7379  0.5392  1 Ni 1.94, 1 Pt 2.06